1.
RbFeP2H2O8 | SCAN | PBEsol geometry

Cell: 8.078 8.078 17.986 Å, 77.02 77.02 60.00°
Last column: magnetic moment on the atom in μB.
Sites, in units of the cell vectors:
O (0.285, 0.619, 0.435)  0.08
O (0.998, 0.618, 0.876)  0.00
O (0.618, 0.508, 0.876)  0.00
O (0.840, 0.881, 0.065)  0.08
O (0.008, 0.118, 0.376)  0.00
O (0.002, 0.382, 0.124)  0.00
O (0.119, 0.785, 0.935)  0.08
O (0.247, 0.320, 0.825)  0.01
O (0.083, 0.714, 0.198)  0.01
O (0.583, 0.505, 0.698)  0.01
O (0.340, 0.715, 0.565)  0.08
O (0.747, 0.108, 0.325)  0.01
O (0.786, 0.417, 0.302)  0.01
O (0.498, 0.008, 0.376)  0.00
O (0.392, 0.753, 0.175)  0.01
O (0.215, 0.840, 0.065)  0.08
O (0.160, 0.119, 0.935)  0.08
O (0.253, 0.892, 0.675)  0.01
O (0.495, 0.786, 0.302)  0.01
O (0.995, 0.917, 0.802)  0.01
O (0.785, 0.160, 0.935)  0.08
O (0.619, 0.660, 0.435)  0.08
O (0.492, 0.002, 0.124)  0.00
O (0.108, 0.820, 0.325)  0.01
O (0.714, 0.005, 0.198)  0.01
O (0.881, 0.215, 0.065)  0.08
O (0.005, 0.083, 0.198)  0.01
O (0.382, 0.492, 0.124)  0.00
O (0.417, 0.495, 0.302)  0.01
O (0.508, 0.998, 0.876)  0.00
O (0.381, 0.340, 0.565)  0.08
O (0.992, 0.882, 0.624)  0.00
O (0.660, 0.285, 0.435)  0.08
O (0.715, 0.381, 0.565)  0.08
O (0.608, 0.247, 0.825)  0.01
O (0.505, 0.214, 0.698)  0.01
O (0.118, 0.498, 0.376)  0.00
O (0.917, 0.286, 0.802)  0.01
O (0.214, 0.583, 0.698)  0.01
O (0.892, 0.180, 0.675)  0.01
O (0.286, 0.995, 0.802)  0.01
O (0.753, 0.680, 0.175)  0.01
O (0.820, 0.747, 0.325)  0.01
O (0.502, 0.992, 0.624)  0.00
O (0.320, 0.608, 0.825)  0.01
O (0.680, 0.392, 0.175)  0.01
O (0.882, 0.502, 0.624)  0.00
O (0.180, 0.253, 0.675)  0.01
H (0.929, 0.017, 0.644)  0.00
H (0.983, 0.590, 0.356)  0.00
H (0.483, 0.571, 0.856)  0.00
H (0.090, 0.483, 0.856)  0.00
H (0.910, 0.517, 0.144)  0.00
H (0.590, 0.071, 0.356)  0.00
H (0.071, 0.983, 0.356)  0.00
H (0.429, 0.910, 0.144)  0.00
H (0.410, 0.929, 0.644)  0.00
H (0.571, 0.090, 0.856)  0.00
H (0.517, 0.429, 0.144)  0.00
H (0.017, 0.410, 0.644)  0.00
P (0.709, 0.891, 0.141)  0.01
P (0.391, 0.209, 0.641)  0.01
P (0.741, 0.291, 0.859)  0.01
P (0.259, 0.709, 0.141)  0.01
P (0.209, 0.759, 0.641)  0.01
P (0.109, 0.741, 0.859)  0.01
P (0.609, 0.791, 0.359)  0.01
P (0.891, 0.259, 0.141)  0.01
P (0.291, 0.109, 0.859)  0.01
P (0.791, 0.241, 0.359)  0.01
P (0.241, 0.609, 0.359)  0.01
P (0.759, 0.391, 0.641)  0.01
Rb (0.832, 0.832, 0.505)  0.00
Rb (0.332, 0.332, 0.005)  0.00
Rb (0.750, 0.750, 0.750)  0.00
Rb (0.168, 0.168, 0.495)  0.00
Rb (0.668, 0.668, 0.995)  0.00
Rb (0.250, 0.250, 0.250)  0.00
Fe (0.414, 0.414, 0.758)  0.94
Fe (0.000, 0.000, 0.000)  4.25
Fe (0.500, 0.500, 0.500)  4.25
Fe (0.086, 0.086, 0.742)  0.94
Fe (0.586, 0.586, 0.242)  0.94
Fe (0.914, 0.914, 0.258)  0.94

Computed properties:
- Size of the total moment: 0.17 μB/atom
- DFT total energy: -10.379 eV per atom
- Theoretical density: 3.4 Mg/m³

***

2.
Re2Hg3 | SCAN | PBEsol geometry

Cell: 4.582 4.582 5.561 Å, 90.00 90.00 120.00°
Sites, in units of the cell vectors:
Re (0.333, 0.667, 0.929)
Re (0.667, 0.333, 0.071)
Hg (0.333, 0.667, 0.416)
Hg (0.000, 0.000, 0.000)
Hg (0.667, 0.333, 0.584)

Computed properties:
- Size of the total moment: 0.00 μB/atom
- DFT total energy: -68.588 eV per atom
- Theoretical density: 16.0 Mg/m³
- Energy of formation: 0.7508 eV/atom

***

3.
FeReRh2 | SCAN | PBEsol geometry

Cell: 4.221 4.221 4.221 Å, 60.00 60.00 60.00°
Last column: magnetic moment on the atom in μB.
Sites, in units of the cell vectors:
Rh (0.000, 0.000, 0.000)  -0.14
Rh (0.750, 0.750, 0.750)  0.22
Fe (0.500, 0.500, 0.500)  2.74
Re (0.250, 0.250, 0.250)  -0.15

Computed properties:
- Size of the total moment: 0.64 μB/atom
- DFT total energy: -38.994 eV per atom
- Theoretical density: 14.0 Mg/m³
- Energy of formation: 0.1989 eV/atom
- Distance to the lowest polymorph of the same formula: 349.0 meV per atom

***

4.
Cd2IBr | SCAN | PBEsol geometry

Cell: 5.290 5.290 5.290 Å, 60.00 60.00 60.00°
Sites, in units of the cell vectors:
Cd (0.250, 0.250, 0.250)
Cd (0.750, 0.750, 0.750)
I (0.500, 0.500, 0.500)
Br (0.000, 0.000, 0.000)

Computed properties:
- Size of the total moment: 0.00 μB/atom
- DFT total energy: -29.391 eV per atom
- Theoretical density: 6.8 Mg/m³
- ΔE_f (raw): -0.13 eV per atom

***

5.
CdPbBr2 | SCAN | PBEsol geometry

Cell: 3.663 3.663 8.268 Å, 90.00 90.00 90.00°
Sites, in units of the cell vectors:
Pb (0.500, 0.500, 0.747)
Br (0.000, 0.000, 0.962)
Br (0.500, 0.500, 0.310)
Cd (0.000, 0.000, 0.481)

Computed properties:
- Size of the total moment: 0.00 μB/atom
- DFT total energy: -36.723 eV per atom
- Theoretical density: 7.2 Mg/m³
- ΔE_f (raw): -0.44 eV per atom
- Distance to the lowest polymorph of the same formula: 0.0 meV per atom

***

6.
Tl2Cd2Bi | SCAN | PBEsol geometry

Cell: 4.662 7.686 7.686 Å, 90.00 90.00 90.00°
Sites, in units of the cell vectors:
Tl (0.500, 0.675, 0.825)
Tl (0.500, 0.325, 0.175)
Tl (0.500, 0.825, 0.325)
Tl (0.500, 0.175, 0.675)
Bi (0.000, 0.500, 0.500)
Bi (0.000, 0.000, 0.000)
Cd (0.000, 0.371, 0.871)
Cd (0.000, 0.129, 0.371)
Cd (0.000, 0.629, 0.129)
Cd (0.000, 0.871, 0.629)

Computed properties:
- Size of the total moment: 0.00 μB/atom
- DFT total energy: -56.787 eV per atom
- Theoretical density: 10.2 Mg/m³
- Energy of formation: 0.0382 eV/atom